Record 1
DFT (GGA-PBE) results for an optimized crystal structure of Ac2Al3Zn9.

Results
Total moment (μB per cell): 0.000
Energy of formation (eV per atom): -0.24
Total energy (eV/atom): -2.444
ρ (Mg/m³): 6.9

Geometry as CIF:
```
data_Ac2Al3Zn9
_symmetry_space_group_name_H-M 'C m c m'
_symmetry_Int_Tables_number 63
_symmetry_space_group_name_Hall '-C 2c 2'
_cell_length_a 13.895
_cell_length_b 8.076
_cell_length_c 9.633
_cell_angle_alpha 90.00
_cell_angle_beta 90.00
_cell_angle_gamma 90.00
loop_
_atom_site_label
_atom_site_type_symbol
_atom_site_fract_x
_atom_site_fract_y
_atom_site_fract_z
_atom_site_occupancy
Ac1 Ac 0.165 0.165 0.250 1
Al1 Al 0.000 0.000 0.000 1
Al2 Al 0.183 0.500 0.000 1
Zn1 Zn 0.000 0.144 0.750 1
Zn2 Zn 0.000 0.346 0.055 1
Zn3 Zn 0.093 0.446 0.750 1
Zn4 Zn 0.150 0.188 0.587 1
```

Record 2
DFT (GGA-PBE) results for an optimized crystal structure of AcAlZn.

Results
Energy above the most stable polymorph in this dataset (meV per atom): 32
Total moment (μB per cell): 0.127
Energy of formation (eV per atom): -0.32
Total energy (eV/atom): -3.360
ρ (Mg/m³): 6.7

Geometry as CIF:
```
data_AcAlZn
_symmetry_space_group_name_H-M 'P -6 m 2'
_symmetry_Int_Tables_number 187
_symmetry_space_group_name_Hall 'P -6 2'
_cell_length_a 4.6729
_cell_length_b 4.6729
_cell_length_c 4.1976
_cell_angle_alpha 90.00
_cell_angle_beta 90.00
_cell_angle_gamma 120.00
loop_
_atom_site_label
_atom_site_type_symbol
_atom_site_fract_x
_atom_site_fract_y
_atom_site_fract_z
_atom_site_occupancy
Ac1 Ac 0.0000 0.0000 0.0000 1
Al1 Al 0.3333 0.6667 0.5000 1
Zn1 Zn 0.6667 0.3333 0.5000 1
```

Record 3
DFT (GGA-PBE) results for an optimized crystal structure of AcAl4Zn4.

Results
Total moment (μB per cell): 0.000
Energy of formation (eV per atom): -0.07
Total energy (eV/atom): -2.752
ρ (Mg/m³): 5.5

Geometry as CIF:
```
data_AcAl4Zn4
_symmetry_space_group_name_H-M 'P 42/n'
_symmetry_Int_Tables_number 86
_cell_length_a 8.631
_cell_length_b 8.631
_cell_length_c 4.845
_cell_angle_alpha 90.00
_cell_angle_beta 90.00
_cell_angle_gamma 90.00
loop_
_symmetry_equiv_pos_as_xyz
'x,y,z'
'-x,-y,-z'
'-y,x+1/2,z+1/2'
'y,-x+1/2,-z+1/2'
'-x+1/2,-y+1/2,z'
'x+1/2,y+1/2,-z'
'y+1/2,-x,z+1/2'
'-y+1/2,x,-z+1/2'
loop_
_atom_site_label
_atom_site_type_symbol
_atom_site_fract_x
_atom_site_fract_y
_atom_site_fract_z
_atom_site_occupancy
Ac1 Ac 0.250 0.250 0.250 1
Al1 Al 0.133 0.847 0.709 1
Zn1 Zn 0.016 0.900 0.216 1
```

Record 4
DFT (GGA-PBE) results for an optimized crystal structure of Ac3Al2Zn.

Results
Total moment (μB per cell): 0.000
Energy of formation (eV per atom): -0.22
Total energy (eV/atom): -3.738
ρ (Mg/m³): 7.2

Geometry as CIF:
```
data_Ac3Al2Zn
_symmetry_space_group_name_H-M 'P -3 m 1'
_symmetry_Int_Tables_number 164
_symmetry_space_group_name_Hall '-P 3 2"'
_cell_length_a 5.5729
_cell_length_b 5.5729
_cell_length_c 13.7083
_cell_angle_alpha 90.00
_cell_angle_beta 90.00
_cell_angle_gamma 120.00
loop_
_atom_site_label
_atom_site_type_symbol
_atom_site_fract_x
_atom_site_fract_y
_atom_site_fract_z
_atom_site_occupancy
Ac1 Ac 0.0000 0.0000 0.2493 1
Ac2 Ac 0.3333 0.6667 0.4152 1
Ac3 Ac 0.3333 0.6667 0.9158 1
Al1 Al 0.0000 0.0000 0.0000 1
Al2 Al 0.0000 0.0000 0.5000 1
Al3 Al 0.3333 0.6667 0.6674 1
Zn1 Zn 0.3333 0.6667 0.1660 1
```

Record 5
DFT (GGA-PBE) results for an optimized crystal structure of AcAl6Zn2.

Results
Total moment (μB per cell): 0.000
Energy of formation (eV per atom): -0.15
Total energy (eV/atom): -3.389
ρ (Mg/m³): 4.8

Geometry as CIF:
```
data_AcAl6Zn2
_symmetry_space_group_name_H-M 'P 4/m m m'
_symmetry_Int_Tables_number 123
_symmetry_space_group_name_Hall '-P 4 2'
_cell_length_a 4.789
_cell_length_b 4.789
_cell_length_c 7.793
_cell_angle_alpha 90.00
_cell_angle_beta 90.00
_cell_angle_gamma 90.00
loop_
_atom_site_label
_atom_site_type_symbol
_atom_site_fract_x
_atom_site_fract_y
_atom_site_fract_z
_atom_site_occupancy
Ac1 Ac 0.000 0.000 0.000 1
Al1 Al 0.000 0.000 0.500 1
Al2 Al 0.000 0.500 0.321 1
Al3 Al 0.500 0.500 0.500 1
Zn1 Zn 0.500 0.500 0.158 1
```

Record 6
DFT (GGA-PBE) results for an optimized crystal structure of AcAl2Zn2.

Results
Energy above the most stable polymorph in this dataset (meV per atom): 0
Total moment (μB per cell): 0.000
Energy of formation (eV per atom): -0.40
Total energy (eV/atom): -3.228
ρ (Mg/m³): 6.4

Geometry as CIF:
```
data_AcAl2Zn2
_symmetry_space_group_name_H-M 'I 4/m m m'
_symmetry_Int_Tables_number 139
_symmetry_space_group_name_Hall '-I 4 2'
_cell_length_a 4.369
_cell_length_b 4.369
_cell_length_c 11.138
_cell_angle_alpha 90.00
_cell_angle_beta 90.00
_cell_angle_gamma 90.00
loop_
_atom_site_label
_atom_site_type_symbol
_atom_site_fract_x
_atom_site_fract_y
_atom_site_fract_z
_atom_site_occupancy
Ac1 Ac 0.000 0.000 0.000 1
Al1 Al 0.000 0.500 0.250 1
Zn1 Zn 0.000 0.000 0.384 1
```

Record 7
DFT (GGA-PBE) results for an optimized crystal structure of Ac4AlZn3.

Results
Total moment (μB per cell): 0.000
Energy of formation (eV per atom): -0.24
Total energy (eV/atom): -3.240
ρ (Mg/m³): 7.8

Geometry as CIF:
```
data_Ac4AlZn3
_symmetry_space_group_name_H-M 'R -3 m'
_symmetry_Int_Tables_number 166
_symmetry_space_group_name_Hall '-R 3 2"'
_cell_length_a 5.5386
_cell_length_b 5.5386
_cell_length_c 27.1936
_cell_angle_alpha 90.00
_cell_angle_beta 90.00
_cell_angle_gamma 120.00
loop_
_atom_site_label
_atom_site_type_symbol
_atom_site_fract_x
_atom_site_fract_y
_atom_site_fract_z
_atom_site_occupancy
Ac1 Ac 0.0000 0.0000 0.1241 1
Ac2 Ac 0.0000 0.0000 0.3742 1
Al1 Al 0.0000 0.0000 0.5000 1
Zn1 Zn 0.0000 0.0000 0.0000 1
Zn2 Zn 0.0000 0.0000 0.2491 1
```

Record 8
DFT (GGA-PBE) results for an optimized crystal structure of AcAlZn2.

Results
Energy above the most stable polymorph in this dataset (meV per atom): 0
Total moment (μB per cell): 0.000
Energy of formation (eV per atom): -0.29
Total energy (eV/atom): -2.887
ρ (Mg/m³): 6.8

Geometry as CIF:
```
data_AcAlZn2
_symmetry_space_group_name_H-M 'R -3 m'
_symmetry_Int_Tables_number 166
_symmetry_space_group_name_Hall '-R 3 2"'
_cell_length_a 4.4177
_cell_length_b 4.4177
_cell_length_c 16.5983
_cell_angle_alpha 90.00
_cell_angle_beta 90.00
_cell_angle_gamma 120.00
loop_
_atom_site_label
_atom_site_type_symbol
_atom_site_fract_x
_atom_site_fract_y
_atom_site_fract_z
_atom_site_occupancy
Ac1 Ac 0.0000 0.0000 0.0000 1
Al1 Al 0.0000 0.0000 0.5000 1
Zn1 Zn 0.0000 0.0000 0.2080 1
```

Record 9
DFT (GGA-PBE) results for an optimized crystal structure of AcAl3Zn3.

Results
Total moment (μB per cell): 0.000
Energy of formation (eV per atom): -0.20
Total energy (eV/atom): -2.938
ρ (Mg/m³): 6.0

Geometry as CIF:
```
data_AcAl3Zn3
_symmetry_space_group_name_H-M 'P 1 21/m 1'
_symmetry_Int_Tables_number 11
_cell_length_a 7.823
_cell_length_b 4.484
_cell_length_c 8.799
_cell_angle_alpha 90.00
_cell_angle_beta 115.40
_cell_angle_gamma 90.00
loop_
_symmetry_equiv_pos_as_xyz
'x,y,z'
'-x,-y,-z'
'-x,y+1/2,-z'
'x,-y+1/2,z'
loop_
_atom_site_label
_atom_site_type_symbol
_atom_site_fract_x
_atom_site_fract_y
_atom_site_fract_z
_atom_site_occupancy
Ac1 Ac 0.244 0.250 0.161 1
Al1 Al 0.065 0.250 0.444 1
Al2 Al 0.287 0.750 0.562 1
Al3 Al 0.432 0.250 0.864 1
Zn1 Zn 0.026 0.250 0.754 1
Zn2 Zn 0.235 0.750 0.864 1
Zn3 Zn 0.468 0.250 0.579 1
```

Record 10
DFT (GGA-PBE) results for an optimized crystal structure of AcAl3Zn.

Results
Total moment (μB per cell): 0.000
Energy of formation (eV per atom): -0.29
Total energy (eV/atom): -3.615
ρ (Mg/m³): 5.5

Geometry as CIF:
```
data_AcAl3Zn
_symmetry_space_group_name_H-M 'C 1 2/m 1'
_symmetry_Int_Tables_number 12
_cell_length_a 21.210
_cell_length_b 4.691
_cell_length_c 4.591
_cell_angle_alpha 90.00
_cell_angle_beta 101.96
_cell_angle_gamma 90.00
loop_
_symmetry_equiv_pos_as_xyz
'x,y,z'
'-x,-y,-z'
'-x,y,-z'
'x,-y,z'
'x+1/2,y+1/2,z'
'-x+1/2,-y+1/2,-z'
'-x+1/2,y+1/2,-z'
'x+1/2,-y+1/2,z'
loop_
_atom_site_label
_atom_site_type_symbol
_atom_site_fract_x
_atom_site_fract_y
_atom_site_fract_z
_atom_site_occupancy
Ac1 Ac 0.093 0.000 0.332 1
Al1 Al 0.031 0.500 0.779 1
Al2 Al 0.212 0.000 0.912 1
Al3 Al 0.216 0.500 0.502 1
Zn1 Zn 0.152 0.500 0.926 1
```